1.
First-principles (PBE) data for crystalline Ca2PrPd4 at its relaxed geometry, as listed in Alexandria.

Output
The value obtained for the formation energy is -0.42 eV/atom. For the total energy, the calculation gives -32.494 eV per formula unit. The crystal system is tetragonal. The value obtained for the volume is 328 Å³ per cell.

Cell lengths 7.3318, 7.3318, 6.0955 Å; angles 90.00, 90.00, 90.00 degrees
Space group I4/mmm (No. 139)
Asymmetric unit:
Ca1 0.0000 0.5000 0.0000 x4
Pr1 0.0000 0.0000 0.0000 x2
Pd1 0.2500 0.2500 0.2500 x8

---

2.
First-principles (PBE) data for crystalline CaPr3Pd3 at its relaxed geometry, as listed in Alexandria.

Output
The value obtained for the formation energy is -0.58 eV/atom. For the total energy, the calculation gives -35.971 eV per formula unit. The crystal system is monoclinic. The value obtained for the volume is 755 Å³ per cell.

Cell lengths 9.4906, 10.8341, 7.3416 Å; angles 90.00, 91.46, 90.00 degrees
Space group C2/m (No. 12)
Asymmetric unit:
Ca1 0.2417 0.0000 0.3750 x4
Pr1 0.0000 0.2509 0.5000 x4
Pr2 0.0000 0.3228 0.0000 x4
Pr3 0.1550 0.0000 0.8729 x4
Pd1 0.0633 0.5000 0.3068 x4
Pd2 0.2434 0.2493 0.2239 x8

---

Copy entry 2 word for word.
First-principles (PBE) data for crystalline CaPr3Pd3 at its relaxed geometry, as listed in Alexandria.

Output
The value obtained for the formation energy is -0.58 eV/atom. For the total energy, the calculation gives -35.971 eV per formula unit. The crystal system is monoclinic. The value obtained for the volume is 755 Å³ per cell.

Cell lengths 9.4906, 10.8341, 7.3416 Å; angles 90.00, 91.46, 90.00 degrees
Space group C2/m (No. 12)
Asymmetric unit:
Ca1 0.2417 0.0000 0.3750 x4
Pr1 0.0000 0.2509 0.5000 x4
Pr2 0.0000 0.3228 0.0000 x4
Pr3 0.1550 0.0000 0.8729 x4
Pd1 0.0633 0.5000 0.3068 x4
Pd2 0.2434 0.2493 0.2239 x8